DFT (PBE) results for Mn3TePd12 after structural relaxation.

Output
Formation energy (no corrections), eV per atom: -0.220
Total magnetic moment, μB/cell: 13.98
N(E_F), states/eV/f.u.: 15.05
Symmetry: No. 123

The structure in CIF format:
```
data_Mn3TePd12
_space_group_name_H-M_alt 'P 1'
_space_group_IT_number 1
_cell_length_a 3.9657
_cell_length_b 3.9657
_cell_length_c 15.8531
_cell_angle_alpha 90.00
_cell_angle_beta 90.00
_cell_angle_gamma 90.00
loop_
_space_group_symop_operation_xyz
'x,y,z'
loop_
_atom_site_label
_atom_site_type_symbol
_atom_site_fract_x
_atom_site_fract_y
_atom_site_fract_z
_atom_site_occupancy
Pd1 Pd 0.0000 0.5000 0.1328 1
Pd2 Pd 0.5000 0.0000 0.6218 1
Pd3 Pd 0.5000 0.0000 0.8672 1
Pd4 Pd 0.5000 0.0000 0.3782 1
Pd5 Pd 0.5000 0.0000 0.1328 1
Pd6 Pd 0.5000 0.5000 0.7448 1
Pd7 Pd 0.0000 0.5000 0.8672 1
Pd8 Pd 0.5000 0.5000 0.2552 1
Pd9 Pd 0.0000 0.5000 0.3782 1
Pd10 Pd 0.5000 0.5000 0.0000 1
Pd11 Pd 0.0000 0.5000 0.6218 1
Pd12 Pd 0.5000 0.5000 0.5000 1
Mn1 Mn 0.0000 0.0000 0.5000 1
Mn2 Mn 0.0000 0.0000 0.2576 1
Mn3 Mn 0.0000 0.0000 0.7424 1
Te1 Te 0.0000 0.0000 0.0000 1
```